# 1
# Sr3Nd2NpN6, optimized geometry, DFT PBE
data_Sr3Nd2NpN6
_chemical_formula_sum 'Sr6 Nd4 Np2 N12'
_space_group_name_H-M_alt 'C 1 2/m 1'
_space_group_IT_number 12
_space_group_name_Hall '-C 2y'
_cell_length_a 6.2903
_cell_length_b 10.8949
_cell_length_c 6.3920
_cell_angle_alpha 90.00
_cell_angle_beta 109.22
_cell_angle_gamma 90.00
loop_
_atom_site_label
_atom_site_type_symbol
_atom_site_fract_x
_atom_site_fract_y
_atom_site_fract_z
_atom_site_occupancy
Sr1 Sr 0.0000 0.0000 0.0000 1
Sr2 Sr 0.0000 0.3363 0.0000 1
Nd1 Nd 0.0000 0.1669 0.5000 1
Np1 Np 0.0000 0.5000 0.5000 1
N1 N 0.2174 0.3518 0.7084 1
N2 N 0.2268 0.5000 0.2948 1
# **D(E_F)**: 1.86 states/eV/cell
# **Formation energy without anion corrections**: -107 kJ per mole of atoms

***

# 2
# Cs4Ac3CeO8, optimized geometry, DFT PBE
data_Cs4Ac3CeO8
_chemical_formula_sum 'Cs12 Ac9 Ce3 O24'
_space_group_name_H-M_alt 'R -3 m'
_space_group_IT_number 166
_space_group_name_Hall '-R 3 2"'
_cell_length_a 7.7308
_cell_length_b 7.7308
_cell_length_c 20.9942
_cell_angle_alpha 90.00
_cell_angle_beta 90.00
_cell_angle_gamma 120.00
loop_
_atom_site_label
_atom_site_type_symbol
_atom_site_fract_x
_atom_site_fract_y
_atom_site_fract_z
_atom_site_occupancy
Cs1 Cs 0.0000 0.0000 0.0000 1
Cs2 Cs 0.0000 0.5000 0.0000 1
Ac1 Ac 0.0000 0.5000 0.5000 1
Ce1 Ce 0.0000 0.0000 0.5000 1
O1 O 0.0000 0.0000 0.2235 1
O2 O 0.0157 0.5078 0.2227 1
# **D(E_F)**: 15.18 states/eV/cell
# **Formation energy without anion corrections**: -241 kJ per mole of atoms

***

# 3
# SrHg3Pb, optimized geometry, DFT PBE
data_SrHg3Pb
_chemical_formula_sum 'Sr1 Hg3 Pb1'
_space_group_name_H-M_alt 'P m -3 m'
_space_group_IT_number 221
_space_group_name_Hall '-P 4 2 3'
_cell_length_a 5.7852
_cell_length_b 5.7852
_cell_length_c 5.7852
_cell_angle_alpha 90.00
_cell_angle_beta 90.00
_cell_angle_gamma 90.00
loop_
_atom_site_label
_atom_site_type_symbol
_atom_site_fract_x
_atom_site_fract_y
_atom_site_fract_z
_atom_site_occupancy
Sr1 Sr 0.0000 0.0000 0.0000 1
Hg1 Hg 0.0000 0.5000 0.5000 1
Pb1 Pb 0.5000 0.5000 0.5000 1
# **Distance to the lowest polymorph of the same formula**: 313 meV/atom
# **D(E_F)**: 2.77 states/eV/cell
# **Energy relative to the elements**: 29 meV/atom

***

# 4
# Y2NbN, optimized geometry, DFT PBE
data_Y2NbN
_chemical_formula_sum 'Y8 Nb4 N4'
_space_group_name_H-M_alt 'I -4 2 d'
_space_group_IT_number 122
_space_group_name_Hall 'I -4 2bw'
_cell_length_a 6.9159
_cell_length_b 6.9159
_cell_length_c 7.8041
_cell_angle_alpha 90.00
_cell_angle_beta 90.00
_cell_angle_gamma 90.00
loop_
_atom_site_label
_atom_site_type_symbol
_atom_site_fract_x
_atom_site_fract_y
_atom_site_fract_z
_atom_site_occupancy
Y1 Y 0.1475 0.2500 0.1250 1
Nb1 Nb 0.0000 0.0000 0.5000 1
N1 N 0.0000 0.0000 0.0000 1
# **D(E_F)**: 4.30 states/eV/cell
# **Formation energy without anion corrections**: 7 kJ per mole of atoms

***

# 5
# CuI, optimized geometry, DFT PBE
data_CuI
_chemical_formula_sum 'Cu8 I8'
_space_group_name_H-M_alt 'I -4 3 m'
_space_group_IT_number 217
_space_group_name_Hall 'I -4 2 3'
_cell_length_a 8.1782
_cell_length_b 8.1782
_cell_length_c 8.1782
_cell_angle_alpha 90.00
_cell_angle_beta 90.00
_cell_angle_gamma 90.00
loop_
_atom_site_label
_atom_site_type_symbol
_atom_site_fract_x
_atom_site_fract_y
_atom_site_fract_z
_atom_site_occupancy
Cu1 Cu 0.1155 0.1155 0.1155 1
I1 I 0.1924 0.1924 0.8076 1
# **Formation energy without anion corrections**: -7 kJ per mole of atoms

***

# 6
# ZrW, optimized geometry, DFT PBE
data_ZrW
_chemical_formula_sum 'Zr2 W2'
_space_group_name_H-M_alt 'P -3 m 1'
_space_group_IT_number 164
_space_group_name_Hall '-P 3 2"'
_cell_length_a 2.8680
_cell_length_b 2.8680
_cell_length_c 10.7362
_cell_angle_alpha 90.00
_cell_angle_beta 90.00
_cell_angle_gamma 120.00
loop_
_atom_site_label
_atom_site_type_symbol
_atom_site_fract_x
_atom_site_fract_y
_atom_site_fract_z
_atom_site_occupancy
Zr1 Zr 0.3333 0.6667 0.3614 1
W1 W 0.3333 0.6667 0.8872 1
# **D(E_F)**: 5.86 states/eV/cell
# **Energy relative to the elements**: 479 meV/atom

***

# 7
# Dy2BeNi3Ge4, optimized geometry, DFT PBE
data_Dy2BeNi3Ge4
_chemical_formula_sum 'Dy2 Be1 Ni3 Ge4'
_space_group_name_H-M_alt 'P -4 m 2'
_space_group_IT_number 115
_space_group_name_Hall 'P -4 -2'
_cell_length_a 4.0424
_cell_length_b 4.0424
_cell_length_c 9.7665
_cell_angle_alpha 90.00
_cell_angle_beta 90.00
_cell_angle_gamma 90.00
loop_
_atom_site_label
_atom_site_type_symbol
_atom_site_fract_x
_atom_site_fract_y
_atom_site_fract_z
_atom_site_occupancy
Dy1 Dy 0.0000 0.5000 0.2472 1
Be1 Be 0.5000 0.5000 0.0000 1
Ni1 Ni 0.0000 0.0000 0.0000 1
Ni2 Ni 0.0000 0.5000 0.6281 1
Ge1 Ge 0.0000 0.0000 0.5000 1
Ge2 Ge 0.0000 0.5000 0.8688 1
Ge3 Ge 0.5000 0.5000 0.5000 1
# **D(E_F)**: 4.14 states/eV/cell
# **Energy relative to the elements**: -630 meV/atom

***

# 8
# MgZn5Au4, optimized geometry, DFT PBE
data_MgZn5Au4
_chemical_formula_sum 'Mg2 Zn10 Au8'
_space_group_name_H-M_alt 'P m m n'
_space_group_IT_number 59
_cell_length_a 7.6370
_cell_length_b 9.4160
_cell_length_c 4.8184
_cell_angle_alpha 90.00
_cell_angle_beta 90.00
_cell_angle_gamma 90.00
loop_
_space_group_symop_operation_xyz
'x,y,z'
'-x,-y,-z'
'-x+1/2,-y+1/2,z'
'x+1/2,y+1/2,-z'
'x+1/2,-y,-z'
'-x+1/2,y,z'
'-x,y+1/2,-z'
'x,-y+1/2,z'
loop_
_atom_site_label
_atom_site_type_symbol
_atom_site_fract_x
_atom_site_fract_y
_atom_site_fract_z
_atom_site_occupancy
Mg1 Mg 0.2500 0.2500 0.0607 1
Zn1 Zn 0.0737 0.5182 0.7460 1
Zn2 Zn 0.2500 0.7500 0.7299 1
Au1 Au 0.0608 0.2500 0.5528 1
Au2 Au 0.2500 0.5763 0.2124 1
# **Distance to the lowest polymorph of the same formula**: 47 meV/atom
# **D(E_F)**: 6.72 states/eV/cell
# **Energy relative to the elements**: -200 meV/atom

***

Across the entries above, electronic total energy takes the values -7.5663 -6.3305 -1.2304 -7.7558 -2.8990 -10.2713 -5.5041 -2.3075 eV/atom, respectively.